(1)
Sc8Tl2Sn after structural relaxation. Source: the Alexandria database, functional PBE.

Properties
The density of states at the Fermi level comes out at 15.78 states/eV per cell. The calculation puts the formation energy at -1.6 eV per formula unit.

a b c (Å): 5.189 8.098 8.098
angles (deg): 119.39 102.24 102.24
Positions (direct):
Sc1 0.865 0.901 0.678
Sc2 0.865 0.678 0.901
Sc3 0.294 0.595 0.595
Sc4 0.500 0.786 0.214
Sc5 0.500 0.214 0.786
Sc6 0.706 0.405 0.405
Sc7 0.135 0.322 0.099
Sc8 0.135 0.099 0.322
Tl1 0.000 0.305 0.695
Tl2 0.000 0.695 0.305
Sn1 0.500 0.000 0.000

=====

(2)
Sc4TlSn after structural relaxation. Source: the Alexandria database, functional PBE.

Properties
The density of states at the Fermi level comes out at 13.46 states/eV per cell. The calculation puts the formation energy at -0.9 eV per formula unit.

a b c (Å): 5.700 6.911 8.496
angles (deg): 99.99 109.60 90.00
Positions (direct):
Sc1 0.554 0.070 0.862
Sc2 0.692 0.430 0.138
Sc3 0.446 0.930 0.138
Sc4 0.308 0.570 0.862
Sc5 0.990 0.901 0.710
Sc6 0.281 0.599 0.290
Sc7 0.010 0.099 0.290
Sc8 0.719 0.401 0.710
Tl1 0.500 0.000 0.500
Tl2 0.000 0.500 0.500
Sn1 0.876 0.750 0.000
Sn2 0.124 0.250 0.000

=====

(3)
ScTl2Sn after structural relaxation. Source: the Alexandria database, functional PBE.

Properties
The density of states at the Fermi level comes out at 5.21 states/eV per cell. The calculation puts the formation energy at 0.2 eV per formula unit.

a b c (Å): 5.332 5.332 5.332
angles (deg): 60.00 60.00 60.00
Positions (direct):
Sc1 0.000 0.000 0.000
Tl1 0.250 0.250 0.250
Tl2 0.750 0.750 0.750
Sn1 0.500 0.500 0.500

=====

(4)
Sc7Tl2Sn2 after structural relaxation. Source: the Alexandria database, functional PBE.

Properties
The density of states at the Fermi level comes out at 11.50 states/eV per cell. The calculation puts the formation energy at -0.8 eV per formula unit.

a b c (Å): 6.517 7.176 6.517
angles (deg): 90.00 107.49 90.00
Positions (direct):
Sc1 0.000 0.292 0.500
Sc2 0.500 0.708 0.000
Sc3 0.000 0.708 0.500
Sc4 0.500 0.292 0.000
Sc5 0.000 0.000 0.000
Sc6 0.500 0.737 0.500
Sc7 0.500 0.263 0.500
Tl1 0.711 0.000 0.289
Tl2 0.289 0.000 0.711
Sn1 0.816 0.500 0.816
Sn2 0.184 0.500 0.184